Record 1
A geometry-optimized DyGe2Te4 structure, computed with GGA-PBE.

Unit cell a=6.814 b=6.814 c=6.814 alpha=106.20 beta=106.20 gamma=116.23
Atoms (fractional coordinates):
Ge: 0.750 0.250 0.500
Ge: 0.250 0.750 0.500
Te: 0.305 0.183 0.488
Te: 0.183 0.695 0.877
Te: 0.695 0.817 0.512
Te: 0.817 0.305 0.123
Dy: 0.500 0.500 0.000

Results
Formation energy from raw total energies in eV/atom: -0.278
Symmetry: I4/m, No. 87

Record 2
A geometry-optimized CrTc4W structure, computed with GGA-PBE.

Unit cell a=5.073 b=5.073 c=5.073 alpha=60.00 beta=60.00 gamma=60.00
Site moments in Bohr magnetons follow the coordinates.
Atoms (fractional coordinates):
W: 0.750 0.750 0.750  0.04
Tc: 0.374 0.374 0.878  -0.20
Tc: 0.374 0.878 0.374  -0.20
Tc: 0.878 0.374 0.374  -0.20
Tc: 0.374 0.374 0.374  -0.20
Cr: 0.000 0.000 0.000  2.52

Results
Symmetry: F-43m, No. 216
ΔE_f in eV/atom: 0.309

Record 3
A geometry-optimized PmNd15Sc4 structure, computed with GGA-PBE.

Unit cell a=5.084 b=5.084 c=25.371 alpha=90.00 beta=90.00 gamma=90.00
Atoms (fractional coordinates):
Nd: 0.500 0.500 0.796
Nd: 0.000 0.500 0.500
Nd: 0.500 0.000 0.896
Nd: 0.500 0.000 0.698
Nd: 0.000 0.500 0.698
Nd: 0.500 0.500 0.599
Nd: 0.500 0.500 0.204
Nd: 0.500 0.000 0.500
Nd: 0.500 0.500 0.401
Nd: 0.500 0.000 0.104
Nd: 0.500 0.500 0.000
Nd: 0.000 0.500 0.896
Nd: 0.000 0.500 0.104
Nd: 0.500 0.000 0.302
Nd: 0.000 0.500 0.302
Sc: 0.000 0.000 0.599
Sc: 0.000 0.000 0.401
Sc: 0.000 0.000 0.203
Sc: 0.000 0.000 0.797
Pm: 0.000 0.000 0.000

Results
Symmetry: P4/mmm, No. 123
ΔE_f in eV/atom: 0.031

Record 4
A geometry-optimized Ac3RuI3 structure, computed with GGA-PBE.

Unit cell a=4.500 b=9.921 c=13.220 alpha=93.63 beta=90.00 gamma=90.00
Atoms (fractional coordinates):
I: 0.750 0.632 0.122
I: 0.750 0.606 0.633
I: 0.250 0.394 0.367
I: 0.250 0.869 0.884
I: 0.250 0.368 0.878
I: 0.750 0.131 0.116
Ac: 0.250 0.909 0.605
Ac: 0.250 0.883 0.165
Ac: 0.250 0.313 0.619
Ac: 0.750 0.687 0.381
Ac: 0.750 0.117 0.835
Ac: 0.750 0.091 0.395
Ru: 0.750 0.112 0.624
Ru: 0.250 0.888 0.376

Results
Formation energy from raw total energies in eV/atom: -1.049
Symmetry: P2_1/m, No. 11
Energy above the lowest structure with this stoichiometry in eV per atom: 0.000

Record 5
A geometry-optimized La2AlZn2 structure, computed with GGA-PBE.

Unit cell a=7.142 b=7.142 c=4.807 alpha=90.00 beta=90.00 gamma=90.00
Atoms (fractional coordinates):
La: 0.325 0.175 0.500
La: 0.825 0.325 0.500
La: 0.175 0.675 0.500
La: 0.675 0.825 0.500
Zn: 0.130 0.370 0.000
Zn: 0.370 0.870 0.000
Zn: 0.870 0.630 0.000
Zn: 0.630 0.130 0.000
Al: 0.000 0.000 0.000
Al: 0.500 0.500 0.000

Results
Symmetry: P4/mbm, No. 127
Energy above the lowest structure with this stoichiometry in eV per atom: 0.022
ΔE_f in eV/atom: -0.337

Record 6
A geometry-optimized Na2CaRhN structure, computed with GGA-PBE.

Unit cell a=5.685 b=3.764 c=5.685 alpha=90.00 beta=90.00 gamma=90.00
Atoms (fractional coordinates):
N: 0.000 0.500 0.000
Na: 0.500 0.000 0.000
Na: 0.000 0.000 0.500
Ca: 0.500 0.500 0.500
Rh: 0.000 0.000 0.000

Results
Formation energy from raw total energies in eV/atom: 0.291
Symmetry: P4/mmm, No. 123
Energy above the lowest structure with this stoichiometry in eV per atom: 0.000

Record 7
A geometry-optimized CdSbIr2 structure, computed with GGA-PBE.

Unit cell a=4.762 b=4.762 c=3.116 alpha=90.00 beta=90.00 gamma=99.54
Atoms (fractional coordinates):
Cd: 0.000 0.500 0.500
Ir: 0.000 0.000 0.000
Ir: 0.500 0.500 0.000
Sb: 0.500 0.000 0.500

Results
Formation energy from raw total energies in eV/atom: 0.220
Symmetry: Cmmm, No. 65
Energy above the lowest structure with this stoichiometry in eV per atom: 0.060

Record 8
A geometry-optimized Be7CuPd12 structure, computed with GGA-PBE.

Unit cell a=6.578 b=6.578 c=6.578 alpha=101.29 beta=101.29 gamma=101.29
Atoms (fractional coordinates):
Be: 0.932 0.624 0.930
Be: 0.070 0.068 0.376
Be: 0.068 0.376 0.070
Be: 0.376 0.070 0.068
Be: 0.624 0.930 0.932
Be: 0.500 0.500 0.500
Be: 0.930 0.932 0.624
Pd: 0.730 0.866 0.254
Pd: 0.463 0.155 0.409
Pd: 0.746 0.270 0.134
Pd: 0.591 0.537 0.845
Pd: 0.537 0.845 0.591
Pd: 0.134 0.746 0.270
Pd: 0.866 0.254 0.730
Pd: 0.155 0.409 0.463
Pd: 0.845 0.591 0.537
Pd: 0.409 0.463 0.155
Pd: 0.270 0.134 0.746
Pd: 0.254 0.730 0.866
Cu: 0.000 0.000 0.000

Results
Symmetry: R-3, No. 148
ΔE_f in eV/atom: -0.251

Record 9
A geometry-optimized MgCrSnRu structure, computed with GGA-PBE.

Unit cell a=4.528 b=4.528 c=4.528 alpha=60.00 beta=60.00 gamma=60.00
Site moments in Bohr magnetons follow the coordinates.
Atoms (fractional coordinates):
Ru: 0.250 0.250 0.250  -0.09
Cr: 0.750 0.750 0.750  3.16
Mg: 0.500 0.500 0.500  -0.01
Sn: 0.000 0.000 0.000  -0.07

Results
Symmetry: F-43m, No. 216
ΔE_f in eV/atom: -0.015

Record 10
A geometry-optimized ZrReIr2 structure, computed with GGA-PBE.

Unit cell a=4.900 b=4.900 c=4.940 alpha=80.41 beta=80.41 gamma=34.01
Atoms (fractional coordinates):
Ir: 0.751 0.751 0.719
Ir: 0.006 0.006 0.003
Zr: 0.253 0.253 0.230
Re: 0.490 0.490 0.548

Results
Symmetry: Cm, No. 8
Energy above the lowest structure with this stoichiometry in eV per atom: 0.093
ΔE_f in eV/atom: -0.313

Record 11
A geometry-optimized TmMg2Cd8 structure, computed with GGA-PBE.

Unit cell a=4.590 b=6.934 c=8.371 alpha=104.10 beta=105.91 gamma=90.00
Atoms (fractional coordinates):
Cd: 0.865 0.793 0.730
Cd: 0.946 0.261 0.892
Cd: 0.312 0.093 0.624
Cd: 0.688 0.907 0.376
Cd: 0.592 0.474 0.185
Cd: 0.135 0.207 0.270
Cd: 0.408 0.526 0.815
Cd: 0.054 0.739 0.108
Tm: 0.500 0.000 0.000
Mg: 0.762 0.352 0.524
Mg: 0.238 0.648 0.476

Results
Symmetry: C2/m, No. 12
ΔE_f in eV/atom: -0.115

Record 12
A geometry-optimized Zr2ZnSi structure, computed with GGA-PBE.

Unit cell a=3.028 b=3.905 c=6.153 alpha=90.00 beta=90.00 gamma=90.00
Atoms (fractional coordinates):
Zr: 0.000 0.000 0.495
Zr: 0.000 0.000 0.005
Zn: 0.500 0.500 0.750
Si: 0.500 0.500 0.250

Results
Formation energy from raw total energies in eV/atom: -0.421
Symmetry: Pmmm, No. 47

Number 1: calculated density 5.64 g/cm3, magnetic moment 0.000 μB per formula unit, calculated volume 34.42 Å³ per atom. Number 2: calculated density 11.30 g/cm3, magnetic moment 1.903 μB per formula unit, calculated volume 15.38 Å³ per atom. Number 3: calculated density 6.30 g/cm3, magnetic moment 0.000 μB per formula unit, calculated volume 32.79 Å³ per atom. Number 4: calculated density 6.56 g/cm3, magnetic moment 0.000 μB per formula unit, calculated volume 42.07 Å³ per atom. Number 5: calculated density 5.90 g/cm3, magnetic moment 0.000 μB per formula unit, calculated volume 24.52 Å³ per atom. Number 6: calculated density 2.77 g/cm3, magnetic moment 0.000 μB per formula unit, calculated volume 24.33 Å³ per atom. Number 7: calculated density 14.74 g/cm3, magnetic moment 0.000 μB per formula unit, calculated volume 17.42 Å³ per atom. Number 8: calculated density 8.78 g/cm3, magnetic moment 0.000 μB per formula unit, calculated volume 13.27 Å³ per atom. Number 9: calculated density 7.49 g/cm3, magnetic moment 3.231 μB per formula unit, calculated volume 16.41 Å³ per atom. Number 10: calculated density 16.82 g/cm3, magnetic moment 0.000 μB per formula unit, calculated volume 16.33 Å³ per atom. Number 11: calculated density 7.48 g/cm3, magnetic moment 0.000 μB per formula unit, calculated volume 22.53 Å³ per atom. Number 12: calculated density 6.30 g/cm3, magnetic moment 0.000 μB per formula unit, calculated volume 18.19 Å³ per atom.